Record 1
A plane-wave DFT calculation with GGA-PBE was carried out for a relaxed structure of U2TlS5.

Output
SG: Cmcm, No. 63
Formation energy from raw total energies (meV per atom): -1118
Final energy (eV/atom): -6.815

The structure in POSCAR format:
```
U2TlS5
1.0
2.657 -6.545 0.000
2.657 6.545 0.000
0.000 0.000 13.123
U Tl S
4 2 10
Cartesian
2.657 4.668 7.292
2.657 4.668 12.393
2.657 -4.668 0.731
2.657 -4.668 5.831
2.657 0.880 9.843
2.657 -0.880 3.281
2.657 5.948 1.538
2.657 5.948 5.024
2.657 3.978 9.843
2.657 2.247 0.471
2.657 2.247 6.091
2.657 -2.247 7.033
2.657 -2.247 12.652
2.657 -3.978 3.281
2.657 -5.948 8.099
2.657 -5.948 11.586
```

---

Record 2
A plane-wave DFT calculation with GGA-PBE was carried out for a relaxed structure of U3Tl2S8.

Output
SG: C2/m, No. 12
Formation energy from raw total energies (meV per atom): -1099
Final energy (eV/atom): -6.608

The structure in POSCAR format:
```
U3Tl2S8
1.0
7.570 -4.043 0.000
7.570 4.043 0.000
-2.166 0.000 6.561
U Tl S
3 2 8
Cartesian
0.000 0.000 0.000
6.487 1.971 3.280
6.487 -1.971 3.280
2.265 0.000 5.522
10.709 0.000 1.039
0.575 0.000 2.635
5.839 2.224 0.745
7.135 2.224 5.816
4.825 0.000 3.602
8.149 0.000 2.958
5.839 -2.224 0.745
7.135 -2.224 5.816
12.399 0.000 3.926
```

---

Record 3
A plane-wave DFT calculation with GGA-PBE was carried out for a relaxed structure of UTlS2.

Output
SG: P4/mmm, No. 123
Formation energy from raw total energies (meV per atom): -926
Final energy (eV/atom): -6.403

The structure in POSCAR format:
```
UTlS2
1.0
3.430 0.000 0.000
0.000 3.430 0.000
0.000 0.000 7.865
U Tl S
1 1 2
Cartesian
0.000 0.000 0.000
0.000 0.000 3.933
1.715 1.715 1.523
1.715 1.715 6.342
```

---

Record 4
A plane-wave DFT calculation with GGA-PBE was carried out for a relaxed structure of UTl2V2S6.

Output
SG: C2/m, No. 12
Formation energy from raw total energies (meV per atom): -929
Final energy (eV/atom): -6.295

The structure in POSCAR format:
```
UTl2V2S6
1.0
3.139 -5.481 0.000
3.139 5.481 0.000
-1.992 0.000 7.648
U Tl V S
1 2 2 6
Cartesian
0.000 0.000 0.000
2.143 3.712 3.824
2.143 -3.712 3.824
3.139 1.837 0.000
3.139 -1.837 0.000
1.112 1.957 1.399
0.256 0.000 6.254
1.112 -1.957 1.399
3.174 1.957 6.248
4.030 0.000 1.394
3.174 -1.957 6.248
```

---

Record 5
A plane-wave DFT calculation with GGA-PBE was carried out for a relaxed structure of UTl3V2S6.

Output
SG: C2/m, No. 12
Formation energy from raw total energies (meV per atom): -842
Final energy (eV/atom): -5.958

The structure in POSCAR format:
```
UTl3V2S6
1.0
3.141 -5.438 0.000
3.141 5.438 0.000
-0.068 0.000 7.988
U Tl V S
1 3 2 6
Cartesian
0.000 0.000 0.000
-0.034 0.000 3.994
3.107 1.811 3.994
3.107 -1.811 3.994
3.141 1.812 0.000
3.141 -1.812 0.000
2.015 3.493 1.402
4.199 3.493 6.586
2.248 0.000 1.401
3.967 0.000 6.587
2.015 -3.493 1.402
4.199 -3.493 6.586
```

---

Record 6
A plane-wave DFT calculation with GGA-PBE was carried out for a relaxed structure of YUTl2S6.

Output
SG: P2_1/c, No. 14
Formation energy from raw total energies (meV per atom): -991
Final energy (eV/atom): -5.716

The structure in POSCAR format:
```
YUTl2S6
1.0
7.149 0.000 0.000
0.000 7.246 0.000
-7.128 0.000 10.276
Y U Tl S
2 2 4 12
Cartesian
0.000 0.000 0.000
-3.564 3.623 5.138
0.010 0.000 5.138
3.575 3.623 0.000
-3.609 0.329 7.691
-0.045 3.294 2.553
0.066 3.952 7.722
3.630 6.917 2.584
-2.100 1.371 4.721
-5.664 2.252 9.859
-1.323 5.125 4.674
-4.887 5.745 9.812
0.623 0.145 2.650
-2.941 3.479 7.788
2.962 3.768 2.488
-0.603 7.102 7.626
4.908 1.501 0.464
1.344 2.122 5.602
5.685 4.994 0.417
2.121 5.875 5.555
```

---

Record 7
A plane-wave DFT calculation with GGA-PBE was carried out for a relaxed structure of Y2UTl2S6.

Output
SG: C2/m, No. 12
Formation energy from raw total energies (meV per atom): -1457
Final energy (eV/atom): -6.340

The structure in POSCAR format:
```
Y2UTl2S6
1.0
3.477 -6.008 0.000
3.477 6.008 0.000
-2.355 0.000 7.579
Y U Tl S
2 1 2 6
Cartesian
3.477 4.009 0.000
3.477 -4.009 0.000
3.477 0.000 0.000
2.299 2.026 3.790
2.299 -2.026 3.790
-0.009 1.976 6.111
1.215 0.000 1.474
-0.009 -1.976 6.111
4.608 1.976 1.468
3.384 0.000 6.105
4.608 -1.976 1.468
```

---

Record 8
A plane-wave DFT calculation with GGA-PBE was carried out for a relaxed structure of Y2UTl3S6.

Output
SG: C2/m, No. 12
Formation energy from raw total energies (meV per atom): -1312
Final energy (eV/atom): -5.985

The structure in POSCAR format:
```
Y2UTl3S6
1.0
3.499 -6.058 0.000
3.499 6.058 0.000
-2.331 0.000 7.574
Y U Tl S
2 1 3 6
Cartesian
3.499 4.040 0.000
3.499 -4.040 0.000
3.499 0.000 0.000
-1.166 0.000 3.787
2.333 2.030 3.787
2.333 -2.030 3.787
0.003 2.015 6.088
1.172 0.000 1.492
0.003 -2.015 6.088
4.664 2.015 1.486
3.495 0.000 6.082
4.664 -2.015 1.486
```

---

Record 9
A plane-wave DFT calculation with GGA-PBE was carried out for a relaxed structure of UTl2ZnS5.

Output
SG: Cmc2_1, No. 36
Formation energy from raw total energies (meV per atom): -766
Final energy (eV/atom): -4.981

The structure in POSCAR format:
```
UTl2ZnS5
1.0
2.001 -9.033 0.000
2.001 9.033 0.000
0.000 0.000 13.524
U Tl Zn S
2 4 2 10
Cartesian
2.001 5.313 6.762
2.001 -5.313 0.000
2.001 7.358 2.035
2.001 6.960 10.828
2.001 -6.960 4.066
2.001 -7.358 8.797
2.001 1.216 12.259
2.001 -1.216 5.497
2.001 7.910 6.861
2.001 3.844 1.645
2.001 3.607 11.795
2.001 2.894 6.518
2.001 0.054 10.334
2.001 -0.054 3.572
2.001 -2.894 13.280
2.001 -3.607 5.033
2.001 -3.844 8.407
2.001 -7.910 0.099
```

---

Record 10
A plane-wave DFT calculation with GGA-PBE was carried out for a relaxed structure of U3Tl3ZnS8.

Output
SG: C2/m, No. 12
Formation energy from raw total energies (meV per atom): -957
Final energy (eV/atom): -5.974

The structure in POSCAR format:
```
U3Tl3ZnS8
1.0
6.787 -3.926 0.000
6.787 3.926 0.000
-4.520 0.000 7.649
U Tl Zn S
3 3 1 8
Cartesian
0.000 0.000 0.000
3.394 1.963 0.000
3.394 -1.963 0.000
1.134 1.963 3.824
1.134 -1.963 3.824
4.527 0.000 3.824
6.787 0.000 0.000
2.265 0.000 1.526
5.681 1.924 1.452
3.374 1.924 6.197
0.067 0.000 6.207
8.987 0.000 1.442
5.681 -1.924 1.452
3.374 -1.924 6.197
6.790 0.000 6.123
```

---

Record 11
A plane-wave DFT calculation with GGA-PBE was carried out for a relaxed structure of Zr2UTl3S6.

Output
SG: C2/m, No. 12
Formation energy from raw total energies (meV per atom): -1090
Final energy (eV/atom): -6.111

The structure in POSCAR format:
```
Zr2UTl3S6
1.0
3.235 -5.607 0.000
3.235 5.607 0.000
-2.207 0.000 8.319
Zr U Tl S
2 1 3 6
Cartesian
3.235 3.736 0.000
3.235 -3.736 0.000
3.235 0.000 0.000
-1.103 0.000 4.160
2.132 1.851 4.160
2.132 -1.851 4.160
-0.082 1.925 6.795
1.011 0.000 1.519
-0.082 -1.925 6.795
4.346 1.925 1.524
3.252 0.000 6.800
4.346 -1.925 1.524
```

---

Record 12
A plane-wave DFT calculation with GGA-PBE was carried out for a relaxed structure of Tl2V2S.

Output
Energy relative to the lowest polymorph listed for this composition (kJ per mole of atoms): 9.29
SG: P4/mbm, No. 127
Formation energy from raw total energies (meV per atom): 642
Final energy (eV/atom): -4.778

The structure in POSCAR format:
```
Tl2V2S
1.0
8.238 0.000 0.000
0.000 8.238 0.000
0.000 0.000 3.169
Tl V S
4 4 2
Cartesian
1.742 2.377 0.000
2.377 6.496 0.000
5.861 1.742 0.000
6.496 5.861 0.000
0.663 4.782 1.584
3.456 0.663 1.584
4.782 7.575 1.584
7.575 3.456 1.584
0.000 0.000 0.000
4.119 4.119 0.000
```

---

Record 13
A plane-wave DFT calculation with GGA-PBE was carried out for a relaxed structure of Tl3V5S12.

Output
SG: Ia-3d, No. 230
Formation energy from raw total energies (meV per atom): -602
Final energy (eV/atom): -5.713

The structure in POSCAR format:
```
Tl3V5S12
1.0
-7.704 7.704 7.704
7.704 -7.704 7.704
7.704 7.704 -7.704
Tl V S
12 20 48
Cartesian
3.852 1.926 0.000
7.704 3.852 -1.926
1.926 0.000 3.852
9.629 0.000 3.852
0.000 3.852 1.926
3.852 -1.926 7.704
3.852 9.629 0.000
7.704 3.852 5.778
-1.926 7.704 3.852
5.778 7.704 3.852
0.000 3.852 9.629
3.852 5.778 7.704
0.000 0.000 0.000
3.852 3.852 -3.852
3.852 -3.852 3.852
7.704 0.000 0.000
11.555 1.926 0.000
7.704 -3.852 5.778
5.778 7.704 -3.852
5.778 0.000 3.852
3.852 5.778 0.000
7.704 3.852 1.926
-3.852 3.852 3.852
0.000 7.704 0.000
0.000 0.000 7.704
3.852 3.852 3.852
0.000 3.852 5.778
3.852 1.926 7.704
1.926 7.704 3.852
1.926 0.000 11.555
0.000 11.555 1.926
-3.852 5.778 7.704
2.251 -0.604 0.669
9.305 4.520 -4.456
9.954 0.604 0.669
9.305 -3.183 4.456
7.100 -0.669 2.251
12.159 -1.601 3.183
0.669 2.251 -0.604
10.887 3.248 -1.601
4.520 4.456 -1.601
7.035 2.251 0.604
-0.604 0.669 2.251
4.456 -1.601 4.520
7.100 7.035 -2.251
4.456 1.601 3.183
4.520 -4.456 9.305
7.035 -2.251 7.100
3.183 4.456 1.601
8.372 5.453 0.604
4.456 9.305 -3.183
7.100 0.669 5.453
2.251 7.100 -0.669
9.305 3.183 3.248
1.601 3.183 4.456
2.251 0.604 7.035
5.453 7.100 0.669
6.103 4.520 3.248
-1.601 4.520 4.456
5.453 0.604 8.372
0.604 7.035 2.251
3.248 -1.601 10.887
-0.669 2.251 7.100
4.520 3.248 6.103
0.669 9.954 0.604
3.183 12.159 -1.601
3.248 6.103 4.520
0.604 0.669 9.954
3.248 9.305 3.183
8.307 7.035 5.453
0.669 5.453 7.100
3.183 3.248 9.305
-3.183 4.456 9.305
7.035 5.453 8.307
-4.456 9.305 4.520
0.604 8.372 5.453
-1.601 10.887 3.248
-2.251 7.100 7.035
-1.601 3.183 12.159
5.453 8.307 7.035
```

---

Record 14
A plane-wave DFT calculation with GGA-PBE was carried out for a relaxed structure of Tl2VS.

Output
SG: Fm-3m, No. 225
Formation energy from raw total energies (meV per atom): 609
Final energy (eV/atom): -3.886

The structure in POSCAR format:
```
Tl2VS
1.0
7.270 0.000 0.000
0.000 7.270 0.000
0.000 0.000 7.270
Tl V S
8 4 4
Cartesian
1.817 1.817 1.817
1.817 1.817 5.452
1.817 5.452 1.817
1.817 5.452 5.452
5.452 1.817 1.817
5.452 1.817 5.452
5.452 5.452 1.817
5.452 5.452 5.452
0.000 0.000 0.000
0.000 3.635 3.635
3.635 0.000 3.635
3.635 3.635 0.000
0.000 0.000 3.635
0.000 3.635 0.000
3.635 0.000 0.000
3.635 3.635 3.635
```

---

Record 15
A plane-wave DFT calculation with GGA-PBE was carried out for a relaxed structure of Tl2V2S.

Output
Energy relative to the lowest polymorph listed for this composition (kJ per mole of atoms): 0.00
SG: I4/mmm, No. 139
Formation energy from raw total energies (meV per atom): 545
Final energy (eV/atom): -4.874

The structure in POSCAR format:
```
Tl2V2S
1.0
3.438 0.000 0.000
0.000 3.438 0.000
0.000 0.000 17.126
Tl V S
4 4 2
Cartesian
0.000 0.000 1.764
0.000 0.000 15.362
1.719 1.719 6.799
1.719 1.719 10.327
0.000 1.719 4.282
0.000 1.719 12.845
1.719 0.000 4.282
1.719 0.000 12.845
0.000 0.000 8.563
1.719 1.719 0.000
```

---

Record 16
A plane-wave DFT calculation with GGA-PBE was carried out for a relaxed structure of TlV5S8.

Output
SG: C2/m, No. 12
Formation energy from raw total energies (meV per atom): -903
Final energy (eV/atom): -6.687

The structure in POSCAR format:
```
TlV5S8
1.0
8.759 -1.625 0.000
8.759 1.625 0.000
-2.152 0.000 8.272
Tl V S
1 5 8
Cartesian
0.000 0.000 0.000
1.519 0.000 4.115
1.848 0.000 7.106
7.683 0.000 4.136
13.518 0.000 1.166
13.847 0.000 4.158
-0.169 0.000 5.627
3.801 0.000 2.812
3.802 0.000 8.268
5.806 0.000 5.625
9.560 0.000 2.647
11.563 0.000 0.005
11.565 0.000 5.460
15.535 0.000 2.645
```

---

Record 17
A plane-wave DFT calculation with GGA-PBE was carried out for a relaxed structure of TlVS2.

Output
SG: I-42d, No. 122
Formation energy from raw total energies (meV per atom): -586
Final energy (eV/atom): -5.521

The structure in POSCAR format:
```
TlVS2
1.0
6.862 0.000 0.000
0.000 6.862 0.000
0.000 0.000 8.969
Tl V S
4 4 8
Cartesian
0.000 0.000 0.000
0.000 3.431 2.242
3.431 0.000 6.727
3.431 3.431 4.485
0.000 0.000 4.485
0.000 3.431 6.727
3.431 0.000 2.242
3.431 3.431 0.000
0.992 1.715 5.606
1.715 4.423 7.848
1.715 5.870 3.363
2.439 1.715 1.121
4.423 5.146 1.121
5.146 0.992 3.363
5.146 2.439 7.848
5.870 5.146 5.606
```